The following is a DFT calculation (GGA-PBE) of a geometry-optimized HfTiB2Pt structure.

```
HfTiB2Pt
1.0
4.117 0.000 0.000
0.000 4.117 0.000
0.000 0.000 4.661
Hf Ti B Pt
1 1 2 1
direct
0.000 0.000 0.000
0.500 0.500 0.500
0.000 0.500 0.500
0.500 0.000 0.500
0.500 0.500 0.000
```

**Size of the total moment**: 0.0 μB/f.u.
**Calculated formation energy**: 0.658 eV/atom
**Total energy**: -6.791 eV/atom